RbNaFe2Br6 (PBE, optimized geometry); total DFT energy (no corrections) = -3.83 eV per atom; crystal system = monoclinic
1.0
9.5316 1.0134 0.7656
-0.1611 9.5839 0.7656
-1.9512 -2.2067 7.0994
Rb Na Fe Br
2 2 4 12
Direct
0.1879 0.8121 0.2500
0.8121 0.1879 0.7500
0.5975 0.4025 0.2500
0.4025 0.5975 0.7500
0.3012 0.1240 0.7649
0.8760 0.6988 0.7351
0.6988 0.8760 0.2351
0.1240 0.3012 0.2649
0.8911 0.4076 0.1725
0.5924 0.1089 0.3275
0.1089 0.5924 0.8275
0.4076 0.8911 0.6725
0.1715 0.1085 0.0092
0.8915 0.8285 0.4908
0.8285 0.8915 0.9908
0.1085 0.1715 0.5092
0.3070 0.4711 0.3576
0.5289 0.6930 0.1424
0.6930 0.5289 0.6424
0.4711 0.3070 0.8576

---

NaFeSeBr2 (PBE, optimized geometry); E above lowest polymorph = 0.0 meV/atom; total DFT energy (no corrections) = -3.81 eV per atom; crystal system = tetragonal
1.0
5.3142 0.0000 0.0000
0.0000 5.3142 0.0000
0.0000 0.0000 4.7382
Na Se Br Fe
1 1 2 1
Direct
0.5000 0.5000 0.5000
0.0000 0.0000 0.5000
0.0000 0.5000 0.0000
0.5000 0.0000 0.0000
0.0000 0.0000 0.0000

---

NaFeSe2Br (PBE, optimized geometry); E above lowest polymorph = 0.0 meV/atom; total DFT energy (no corrections) = -3.93 eV per atom; crystal system = tetragonal
1.0
-2.4305 -3.5254 1.5669
2.7003 -2.8772 -2.2849
3.4950 -0.3678 4.5935
Na Se Br Fe
1 2 1 1
Direct
0.5000 0.5000 0.5000
0.0000 0.5000 0.0000
0.5000 0.0000 0.0000
0.0000 0.0000 0.5000
0.0000 0.0000 0.0000

---

NaFeSeBr2 (PBE, optimized geometry); E above lowest polymorph = 971.3 meV/atom; total DFT energy (no corrections) = -2.84 eV per atom; crystal system = tetragonal
1.0
5.2189 0.0000 0.0000
0.0000 5.2189 0.0000
0.0000 0.0000 5.3985
Na Se Br Fe
1 1 2 1
Direct
0.0000 0.0000 0.0000
0.0000 0.0000 0.5000
0.0000 0.5000 0.0000
0.5000 0.0000 0.0000
0.5000 0.5000 0.5000

---

NaFeSe2Br (PBE, optimized geometry); E above lowest polymorph = 1036.2 meV/atom; total DFT energy (no corrections) = -2.89 eV per atom; crystal system = tetragonal
1.0
5.1140 0.0000 0.0000
0.0000 5.1140 0.0000
0.0000 0.0000 5.2411
Na Se Br Fe
1 2 1 1
Direct
0.0000 0.0000 0.0000
0.0000 0.5000 0.0000
0.5000 0.0000 0.0000
0.0000 0.0000 0.5000
0.5000 0.5000 0.5000

---

NaTlFeBr4 (PBE, optimized geometry); total DFT energy (no corrections) = -3.54 eV per atom; crystal system = monoclinic
1.0
-3.9249 -5.9915 0.4768
6.1531 -4.1390 -1.3611
3.0111 1.7946 8.1547
Na Tl Fe Br
2 2 2 8
Direct
0.7732 0.7500 0.4428
0.2268 0.2500 0.5572
0.7610 0.7500 0.9401
0.2390 0.2500 0.0599
0.2337 0.7500 0.3211
0.7663 0.2500 0.6789
0.9952 0.4994 0.7267
0.0048 0.9994 0.2733
0.0048 0.5006 0.2733
0.9952 0.0006 0.7267
0.4285 0.7500 0.1390
0.5715 0.2500 0.8610
0.4480 0.7500 0.5881
0.5520 0.2500 0.4119

---

Na2YFeBr (PBE, optimized geometry); total DFT energy (no corrections) = -3.54 eV per atom; crystal system = tetragonal
1.0
5.5542 0.0000 0.0000
0.0000 4.9355 0.0000
0.0000 0.0000 5.5542
Y Na Fe Br
1 2 1 1
Direct
0.0000 0.5000 0.0000
0.0000 0.0000 0.5000
0.5000 0.0000 0.0000
0.0000 0.0000 0.0000
0.5000 0.5000 0.5000

---

NbFe2Br2 (PBE, optimized geometry); E above lowest polymorph = 0.0 meV/atom; total DFT energy (no corrections) = -5.39 eV per atom; crystal system = tetragonal
1.0
6.4462 0.0000 0.0000
0.0000 6.4462 0.0000
0.0000 0.0000 4.6210
Nb Fe Br
2 4 4
Direct
0.0000 0.0000 0.0000
0.5000 0.5000 0.0000
0.3731 0.8731 0.0000
0.8731 0.6269 0.0000
0.6269 0.1269 0.0000
0.1269 0.3731 0.0000
0.3013 0.8013 0.5000
0.8013 0.6987 0.5000
0.6987 0.1987 0.5000
0.1987 0.3013 0.5000

---

Formation energy (no corrections) list, top to bottom, in eV per atom: -0.903 -0.488 -0.243 0.483 0.793 -0.846 0.306 0.680